(1)
Material: Ta4BeFe
Method: DFT, PBE-GGA
State: optimized geometry

Geometry as extended XYZ:
```
6
Lattice="4.813 -0.160 -1.259 -2.903 3.843 -1.259 0.083 0.160 4.975" Properties=species:S:1:pos:R:3 pbc="T T T"
Ta -2.184 3.572 1.228
Ta 2.589 0.271 0.022
Ta 3.263 1.570 2.435
Ta 0.320 2.273 1.228
Be 0.955 1.841 -1.259
Fe 0.000 0.000 0.000
```

Calculated values
space group = I422, No. 97
ΔH_f (0 K) = -0.1427 eV per atom
total moment = 0.0 μB/f.u.
excess energy over the best structure of this formula in the dataset = 0 meV per atom
calculated total energy = -10.08 eV per atom

---

(2)
Material: Ta2Be9Fe
Method: DFT, PBE-GGA
State: optimized geometry

Geometry as extended XYZ:
```
12
Lattice="-0.060 4.449 0.569 -3.813 2.063 1.152 0.288 1.332 7.297" Properties=species:S:1:pos:R:3 pbc="T T T"
Be -2.042 4.805 6.514
Be -0.116 3.763 5.932
Be -1.543 3.040 2.503
Be -1.574 5.287 2.791
Be -1.010 3.507 7.842
Be -2.012 2.557 6.227
Be -1.793 3.922 4.509
Be -3.469 4.082 3.085
Be -2.575 4.338 1.176
Ta -3.200 6.155 4.586
Ta -0.385 1.690 4.432
Fe 0.000 0.000 0.000
```

Calculated values
space group = R-3m, No. 166
ΔH_f (0 K) = -0.1002 eV per atom
total moment = 1.8 μB/f.u.
calculated total energy = -5.58 eV per atom

---

(3)
Material: TaBeFe2
Method: DFT, PBE-GGA
State: optimized geometry

Geometry as extended XYZ:
```
4
Lattice="-3.982 -0.132 0.074 0.087 -1.352 2.277 -0.056 3.525 3.239" Properties=species:S:1:pos:R:3 pbc="T T T"
Ta 0.014 1.131 2.751
Fe 0.083 -1.286 2.178
Fe -1.985 0.422 1.214
Be -1.960 1.508 4.482
```

Calculated values
space group = Pm, No. 6
ΔH_f (0 K) = 0.0409 eV per atom
total moment = 3.0 μB/f.u.
calculated total energy = -8.09 eV per atom

---

(4)
Material: TaBeFe2
Method: DFT, PBE-GGA
State: optimized geometry

Geometry as extended XYZ:
```
4
Lattice="4.771 0.002 0.003 -2.057 4.304 0.003 0.500 0.794 2.432" Properties=species:S:1:pos:R:3 pbc="T T T"
Be -0.778 2.549 1.217
Fe 1.357 2.153 0.003
Fe 0.000 0.000 0.000
Ta 2.635 0.398 1.217
```

Calculated values
space group = C2/m, No. 12
ΔH_f (0 K) = 0.1204 eV per atom
total moment = 2.9 μB/f.u.
calculated total energy = -8.01 eV per atom

---

(5)
Material: TaBeFe
Method: DFT, PBE-GGA
State: optimized geometry

Geometry as extended XYZ:
```
3
Lattice="-0.359 -1.947 3.295 0.238 -3.836 0.001 3.059 -1.736 1.550" Properties=species:S:1:pos:R:3 pbc="T T T"
Ta 1.469 -3.760 2.423
Fe 0.000 0.000 0.000
Be 2.203 -5.639 3.634
```

Calculated values
space group = F-43m, No. 216
ΔH_f (0 K) = 0.3686 eV per atom
total moment = 1.4 μB/f.u.
excess energy over the best structure of this formula in the dataset = 611 meV per atom
calculated total energy = -7.65 eV per atom

---

(6)
Material: TaBeFe
Method: DFT, PBE-GGA
State: optimized geometry

Geometry as extended XYZ:
```
3
Lattice="5.585 -0.004 0.004 4.849 2.610 0.005 0.736 -0.125 2.611" Properties=species:S:1:pos:R:3 pbc="T T T"
Ta 7.129 1.675 0.896
Be 10.288 2.564 0.048
Fe 4.186 0.846 1.685
```

Calculated values
space group = Fmm2, No. 42
ΔH_f (0 K) = 0.0521 eV per atom
total moment = 2.1 μB/f.u.
excess energy over the best structure of this formula in the dataset = 294 meV per atom
calculated total energy = -7.96 eV per atom

---

(7)
Material: TaBeFe
Method: DFT, PBE-GGA
State: optimized geometry

Geometry as extended XYZ:
```
3
Lattice="4.007 0.000 0.000 2.004 3.470 0.000 2.004 1.157 3.272" Properties=species:S:1:pos:R:3 pbc="T T T"
Be 0.000 0.000 0.000
Ta 6.011 3.470 2.454
Fe 4.007 2.314 1.636
```

Calculated values
space group = F-43m, No. 216
ΔH_f (0 K) = 0.8686 eV per atom
total moment = 0.0 μB/f.u.
excess energy over the best structure of this formula in the dataset = 1111 meV per atom
calculated total energy = -7.15 eV per atom

---

(8)
Material: TaBe2Fe2
Method: DFT, PBE-GGA
State: optimized geometry

Geometry as extended XYZ:
```
5
Lattice="3.663 0.000 0.000 0.000 3.663 0.000 1.831 1.831 4.184" Properties=species:S:1:pos:R:3 pbc="T T T"
Fe 1.831 1.831 1.045
Fe 3.663 3.663 3.140
Be 1.831 3.663 2.092
Be 3.663 1.831 2.092
Ta 0.000 0.000 0.000
```

Calculated values
space group = I4/mmm, No. 139
ΔH_f (0 K) = 0.1491 eV per atom
total moment = 0.8 μB/f.u.
excess energy over the best structure of this formula in the dataset = 285 meV per atom
calculated total energy = -7.10 eV per atom

---

(9)
Material: TaBeFe3
Method: DFT, PBE-GGA
State: optimized geometry

Geometry as extended XYZ:
```
5
Lattice="-0.662 -4.391 0.641 4.191 -0.406 1.551 -1.460 0.828 4.161" Properties=species:S:1:pos:R:3 pbc="T T T"
Be 1.034 -1.985 3.177
Fe 2.095 -0.203 0.775
Fe -0.730 0.414 2.081
Fe -0.331 -2.196 0.321
Ta 0.000 0.000 0.000
```

Calculated values
space group = Pm-3m, No. 221
ΔH_f (0 K) = 1.7579 eV per atom
total moment = 4.6 μB/f.u.
excess energy over the best structure of this formula in the dataset = 1520 meV per atom
calculated total energy = -6.44 eV per atom

---

(10)
Material: TaBeFe2
Method: DFT, PBE-GGA
State: optimized geometry

Geometry as extended XYZ:
```
4
Lattice="-2.316 1.945 3.623 -3.540 -0.817 3.012 1.129 -1.280 3.525" Properties=species:S:1:pos:R:3 pbc="T T T"
Fe 1.090 -1.266 3.542
Fe -1.240 -0.018 2.566
Be -3.439 -0.150 7.572
Ta -2.374 -0.072 5.085
```

Calculated values
space group = Imm2, No. 44
ΔH_f (0 K) = -0.0388 eV per atom
total moment = 2.1 μB/f.u.
calculated total energy = -8.16 eV per atom

---

(11)
Material: TaBeFe2
Method: DFT, PBE-GGA
State: optimized geometry

Geometry as extended XYZ:
```
4
Lattice="2.881 0.000 0.000 0.000 2.881 0.000 0.000 0.000 5.897" Properties=species:S:1:pos:R:3 pbc="T T T"
Ta 0.000 0.000 2.997
Fe 1.441 1.440 1.239
Fe 0.000 0.000 5.806
Be 1.441 1.440 4.702
```

Calculated values
space group = P4mm, No. 99
ΔH_f (0 K) = -0.0312 eV per atom
total moment = 4.1 μB/f.u.
calculated total energy = -8.16 eV per atom

---

(12)
Material: TaBe2Fe2
Method: DFT, PBE-GGA
State: optimized geometry

Geometry as extended XYZ:
```
10
Lattice="-5.390 2.768 1.594 -2.611 -5.619 0.927 0.806 0.058 2.624" Properties=species:S:1:pos:R:3 pbc="T T T"
Ta -4.000 -1.425 1.261
Ta 0.000 0.000 0.000
Be -6.370 -1.023 1.980
Be -1.631 -1.828 0.542
Be -3.631 1.050 1.092
Be -4.370 -3.901 1.429
Fe -5.384 -2.753 3.152
Fe -4.906 0.481 2.933
Fe -2.289 -3.274 2.212
Fe -1.810 -0.040 1.994
```

Calculated values
space group = P4/mbm, No. 127
ΔH_f (0 K) = -0.1359 eV per atom
total moment = 0.0 μB/f.u.
excess energy over the best structure of this formula in the dataset = 0 meV per atom
calculated total energy = -7.38 eV per atom

---

(13)
Material: Ta2Be3Fe
Method: DFT, PBE-GGA
State: optimized geometry

Geometry as extended XYZ:
```
6
Lattice="4.114 -0.125 -2.162 -2.616 3.838 -0.196 -0.189 0.109 4.632" Properties=species:S:1:pos:R:3 pbc="T T T"
Ta 2.071 1.353 -1.133
Ta -0.762 2.470 3.406
Be 1.963 -0.008 1.235
Be -0.094 0.055 2.316
Be 0.655 1.912 1.137
Fe 0.000 0.000 0.000
```

Calculated values
space group = R-3m, No. 166
ΔH_f (0 K) = -0.2119 eV per atom
total moment = 0.5 μB/f.u.
calculated total energy = -7.44 eV per atom

---

(14)
Material: TaBeFe2
Method: DFT, PBE-GGA
State: optimized geometry

Geometry as extended XYZ:
```
4
Lattice="2.735 0.000 0.023 0.000 4.694 0.000 -0.032 -2.347 3.917" Properties=species:S:1:pos:R:3 pbc="T T T"
Ta 1.368 2.347 0.011
Fe -0.019 2.347 2.336
Fe 2.722 0.000 1.603
Be 1.368 0.000 0.011
```

Calculated values
space group = Cmmm, No. 65
ΔH_f (0 K) = 0.3319 eV per atom
total moment = 3.4 μB/f.u.
calculated total energy = -7.79 eV per atom

---

(15)
Material: TaBeFe2
Method: DFT, PBE-GGA
State: optimized geometry

Geometry as extended XYZ:
```
4
Lattice="-3.410 -0.775 -2.794 -0.515 -1.390 -4.223 -1.058 -3.852 -0.484" Properties=species:S:1:pos:R:3 pbc="T T T"
Ta -1.246 -1.504 -1.875
Fe -1.085 -3.828 -0.550
Fe -2.464 -3.032 -3.684
Be -3.737 -4.513 -5.626
```

Calculated values
space group = C2/m, No. 12
ΔH_f (0 K) = -0.0536 eV per atom
total moment = 2.5 μB/f.u.
calculated total energy = -8.18 eV per atom

---

(16)
Material: TaBeFe2
Method: DFT, PBE-GGA
State: optimized geometry

Geometry as extended XYZ:
```
4
Lattice="2.952 0.000 0.000 0.000 2.952 0.000 0.000 0.000 5.410" Properties=species:S:1:pos:R:3 pbc="T T T"
Fe 0.000 0.000 2.867
Fe 0.000 0.000 5.248
Ta 1.476 1.476 1.352
Be 1.476 1.476 4.057
```

Calculated values
space group = P4/mmm, No. 123
ΔH_f (0 K) = -0.1328 eV per atom
total moment = 0.5 μB/f.u.
calculated total energy = -8.26 eV per atom

---

(17)
Material: TaBe17Fe
Method: DFT, PBE-GGA
State: optimized geometry

Geometry as extended XYZ:
```
19
Lattice="5.453 0.015 0.660 0.587 5.421 0.660 0.017 0.015 5.493" Properties=species:S:1:pos:R:3 pbc="T T T"
Be 2.090 3.827 6.124
Be 4.025 1.677 6.124
Be 1.221 3.552 4.118
Be 4.757 1.919 2.708
Be 0.341 2.681 0.383
Be 2.256 5.404 4.715
Be 2.408 4.529 2.708
Be 5.611 1.677 4.715
Be 2.132 1.919 5.041
Be 3.661 0.842 4.118
Be 2.702 0.058 0.383
Be 0.590 0.531 0.664
Be 5.425 4.883 6.102
Be 0.064 0.058 2.728
Be 4.418 5.404 2.793
Be 3.946 3.552 1.695
Be 5.837 3.827 2.793
Ta 2.057 1.851 2.314
Fe 3.997 3.597 4.496
```

Calculated values
space group = R3m, No. 160
ΔH_f (0 K) = -0.1234 eV per atom
total moment = 1.6 μB/f.u.
calculated total energy = -4.53 eV per atom

---

(18)
Material: Ta2Be15Fe2
Method: DFT, PBE-GGA
State: optimized geometry

Geometry as extended XYZ:
```
19
Lattice="5.598 -0.054 -0.048 0.673 5.558 -0.048 0.673 0.590 5.526" Properties=species:S:1:pos:R:3 pbc="T T T"
Be 0.673 4.132 1.552
Be 0.673 2.016 3.926
Be 2.087 3.947 -0.048
Be 4.208 1.227 3.576
Be 5.181 2.081 1.854
Be 2.736 4.867 1.854
Be 4.184 0.131 1.552
Be 1.763 4.013 3.576
Be 4.184 1.557 -0.048
Be 4.208 3.693 0.809
Be 2.799 -0.027 -0.024
Be 0.336 2.779 -0.024
Be 2.736 2.401 4.622
Be 0.336 0.295 2.763
Be 2.087 0.405 3.926
Ta 4.564 4.005 3.569
Ta 2.380 2.089 1.861
Fe 6.228 5.466 4.871
Fe 0.716 0.628 0.560
```

Calculated values
space group = R-3m, No. 166
ΔH_f (0 K) = -0.2131 eV per atom
total moment = 0.0 μB/f.u.
calculated total energy = -5.29 eV per atom

---

(19)
Material: TaBe10Fe
Method: DFT, PBE-GGA
State: optimized geometry

Geometry as extended XYZ:
```
12
Lattice="-2.431 1.518 -1.859 -2.955 -1.380 2.738 0.818 6.246 4.031" Properties=species:S:1:pos:R:3 pbc="T T T"
Be -2.693 0.069 0.439
Be 0.562 4.291 2.769
Be -0.807 3.882 1.086
Be -3.212 1.287 2.113
Be -1.349 0.290 2.001
Be -1.356 5.097 2.796
Be -2.802 4.422 4.136
Be -0.788 4.577 4.767
Be -1.766 1.962 0.773
Be 0.256 1.955 1.262
Ta -1.069 2.433 3.384
Fe 0.000 0.000 0.000
```

Calculated values
space group = Pmmm, No. 47
ΔH_f (0 K) = -0.1085 eV per atom
total moment = 2.2 μB/f.u.
calculated total energy = -4.91 eV per atom

---

(20)
Material: Ta2BeFe3
Method: DFT, PBE-GGA
State: optimized geometry

Geometry as extended XYZ:
```
6
Lattice="0.050 -3.936 -2.687 3.503 0.795 3.132 -3.193 0.489 3.450" Properties=species:S:1:pos:R:3 pbc="T T T"
Be 0.000 0.000 0.000
Fe -1.571 -1.724 0.382
Fe 0.181 -1.326 1.948
Fe -1.596 0.245 1.725
Ta 0.953 -2.592 -0.409
Ta -0.592 -0.059 4.304
```

Calculated values
space group = R-3m, No. 166
ΔH_f (0 K) = -0.2623 eV per atom
total moment = 3.6 μB/f.u.
calculated total energy = -9.07 eV per atom